Entry 1:
Material: SrEuMgHg
Method: DFT, PBE
State: relaxed

a = 8.0241 Å, b = 8.0241 Å, c = 8.0241 Å
α = 90.00°, β = 90.00°, γ = 90.00°
Closest atoms and distances in Å follow each position.
Space group F-43m (No. 216)
Inequivalent atoms, fractional coordinates:
Sr 0.0000 0.0000 0.0000 x4  4 Hg 3.47, 4 Mg 3.47
Eu 0.0000 0.0000 0.5000 x4  4 Mg 3.47, 4 Hg 3.47
Mg 0.2500 0.2500 0.2500 x4  4 Sr 3.47, 4 Eu 3.47
Hg 0.2500 0.2500 0.7500 x4  4 Sr 3.47, 4 Eu 3.47

Computed properties:
Density in g/cm³: 5.97
D(E_F) in states/eV/atom: 2.264
ΔH_f (0 K) in eV per atom: -0.28

Entry 2:
Material: V3Ni6Pt2
Method: DFT, PBE
State: relaxed

a = 3.2606 Å, b = 3.2606 Å, c = 27.6012 Å
α = 90.00°, β = 90.00°, γ = 90.00°
Closest atoms and distances in Å follow each position.
Space group I4/mmm (No. 139)
Inequivalent atoms, fractional coordinates:
V 0.0000 0.0000 0.0000 x2  8 Ni 2.40
V 0.0000 0.0000 0.1840 x4  1 Ni 2.35
Ni 0.0000 0.0000 0.2693 x4  1 V 2.35, 4 Ni 2.54, 1 Pt 2.57
Ni 0.0000 0.5000 0.0638 x8  4 Ni 2.31, 2 V 2.40
Pt 0.0000 0.0000 0.3625 x4  5 Ni 2.57-2.61, 4 V 2.64

Computed properties:
Density in g/cm³: 10.13
D(E_F) in states/eV/atom: 1.140
ΔH_f (0 K) in eV per atom: -0.01